[1]
GaTeS2 | SCAN | PBEsol geometry

Values from the calculation:
The space group is Fm-3m (225). The value obtained for the density of states at the Fermi level is 1.64 states/eV/f.u. The calculation puts the total energy at -71.5 eV for the cell shown.

a b c (Å): 4.7265 4.7265 4.7265
angles (deg): 60.00 60.00 60.00
Sites, in units of the cell vectors:
Ga: 0.0000 0.0000 0.0000
Te: 0.5000 0.5000 0.5000
S: 0.2500 0.2500 0.2500
S: 0.7500 0.7500 0.7500

---

[2]
Be3SbS | SCAN | PBEsol geometry

Values from the calculation:
The space group is Pm-3m (221). The value obtained for the density of states at the Fermi level is 2.08 states/eV/f.u. The calculation puts the total energy at -54.6 eV for the cell shown.

a b c (Å): 4.6110 4.6110 4.6110
angles (deg): 90.00 90.00 90.00
Sites, in units of the cell vectors:
Be: 0.0000 0.0000 0.5000
Be: 0.0000 0.5000 0.0000
Be: 0.5000 0.0000 0.0000
Sb: 0.0000 0.0000 0.0000
S: 0.5000 0.5000 0.5000

---

[3]
BaTe2NCl | SCAN | PBEsol geometry

Values from the calculation:
The space group is P4/mmm (123). The value obtained for the density of states at the Fermi level is 1.98 states/eV/f.u. The calculation puts the total energy at -129.6 eV for the cell shown.

a b c (Å): 5.5354 5.5354 4.4999
angles (deg): 90.00 90.00 90.00
Sites, in units of the cell vectors:
Ba: 0.0000 0.0000 0.0000
Te: 0.0000 0.5000 0.5000
Te: 0.5000 0.0000 0.5000
N: 0.5000 0.5000 0.0000
Cl: 0.5000 0.5000 0.5000

---

[4]
Sn2Te2C | SCAN | PBEsol geometry

Values from the calculation:
The space group is I4/mmm (139). The value obtained for the density of states at the Fermi level is 2.37 states/eV/f.u. The calculation puts the total energy at -149.3 eV for the cell shown.

a b c (Å): 8.4792 8.4792 8.4792
angles (deg): 152.39 152.39 39.45
Sites, in units of the cell vectors:
Sn: 0.2500 0.7500 0.5000
Sn: 0.7500 0.2500 0.5000
Te: 0.0877 0.0877 0.0000
Te: 0.9123 0.9123 0.0000
C: 0.5000 0.5000 0.0000

---

[5]
ScZnRu | SCAN | PBEsol geometry

Values from the calculation:
The space group is P3m1 (156). For the formation energy, the calculation gives -0.12 eV per atom. The value obtained for the density of states at the Fermi level is 1.43 states/eV/f.u.

a b c (Å): 3.0738 3.0738 6.0675
angles (deg): 90.00 90.00 120.00
Sites, in units of the cell vectors:
Sc: 0.0000 0.0000 0.0000
Zn: 0.3333 0.6667 0.6180
Ru: 0.6667 0.3333 0.3074

---

[6]
ScNb2CrSn | SCAN | PBEsol geometry

Values from the calculation:
The space group is P4/mmm (123). For the formation energy, the calculation gives 1.44 eV per atom. The value obtained for the density of states at the Fermi level is 5.55 states/eV/f.u.

a b c (Å): 4.6631 4.6631 5.1829
angles (deg): 90.00 90.00 90.00
Sites, in units of the cell vectors:
Sc: 0.0000 0.0000 0.0000
Nb: 0.0000 0.5000 0.0000
Nb: 0.5000 0.0000 0.0000
Cr: 0.5000 0.5000 0.5000
Sn: 0.0000 0.0000 0.5000

---

> Number 6 is which compound?

ScNb2CrSn

---

Please write out number 2 again, unchanged.
Be3SbS | SCAN | PBEsol geometry

Values from the calculation:
The space group is Pm-3m (221). The value obtained for the density of states at the Fermi level is 2.08 states/eV/f.u. The calculation puts the total energy at -54.6 eV for the cell shown.

a b c (Å): 4.6110 4.6110 4.6110
angles (deg): 90.00 90.00 90.00
Sites, in units of the cell vectors:
Be: 0.0000 0.0000 0.5000
Be: 0.0000 0.5000 0.0000
Be: 0.5000 0.0000 0.0000
Sb: 0.0000 0.0000 0.0000
S: 0.5000 0.5000 0.5000

---

> What is the formula in the second record?

Be3SbS